Arrangement one

Compound: OsRu2Br
Source: Alexandria via LeMat-Bulk
Functional: meta-GGA SCAN
Structure: PBEsol geometry

Computed properties:
M_tot   0.000 Bohr magnetons per cell

```
data_OsRu2Br
_space_group_name_H-M_alt 'P 1'
_space_group_IT_number 1
_cell_length_a 4.0466
_cell_length_b 4.0466
_cell_length_c 7.1155
_cell_angle_alpha 90.00
_cell_angle_beta 90.00
_cell_angle_gamma 90.00
loop_
_space_group_symop_operation_xyz
'x,y,z'
loop_
_atom_site_label
_atom_site_type_symbol
_atom_site_fract_x
_atom_site_fract_y
_atom_site_fract_z
_atom_site_occupancy
Os1 Os 0.0000 0.0000 0.0000 1
Os2 Os 0.5000 0.5000 0.5000 1
Ru1 Ru 0.0000 0.5000 0.2500 1
Ru2 Ru 0.0000 0.5000 0.7500 1
Ru3 Ru 0.5000 0.0000 0.2500 1
Ru4 Ru 0.5000 0.0000 0.7500 1
Br1 Br 0.0000 0.0000 0.5000 1
Br2 Br 0.5000 0.5000 0.0000 1
```

=====

Arrangement two

Compound: OsRu2Br
Source: Alexandria via LeMat-Bulk
Functional: meta-GGA SCAN
Structure: PBEsol geometry

Computed properties:
M_tot   0.000 Bohr magnetons per cell

```
data_OsRu2Br
_space_group_name_H-M_alt 'P 1'
_space_group_IT_number 1
_cell_length_a 2.8121
_cell_length_b 2.8121
_cell_length_c 7.4597
_cell_angle_alpha 90.00
_cell_angle_beta 90.00
_cell_angle_gamma 90.00
loop_
_space_group_symop_operation_xyz
'x,y,z'
loop_
_atom_site_label
_atom_site_type_symbol
_atom_site_fract_x
_atom_site_fract_y
_atom_site_fract_z
_atom_site_occupancy
Os1 Os 0.0000 0.0000 0.0000 1
Ru1 Ru 0.0000 0.0000 0.4737 1
Ru2 Ru 0.5000 0.5000 0.2283 1
Br1 Br 0.5000 0.5000 0.7189 1
```

=====

Which structure loses on stability? arrangement one does.

=====

Arrangement one

Compound: ZnSb2Ir
Source: Alexandria via LeMat-Bulk
Functional: meta-GGA SCAN
Structure: PBEsol geometry

Computed properties:
M_tot   0.000 Bohr magnetons per cell

```
data_ZnSb2Ir
_space_group_name_H-M_alt 'P 1'
_space_group_IT_number 1
_cell_length_a 4.5045
_cell_length_b 4.5045
_cell_length_c 3.7348
_cell_angle_alpha 90.00
_cell_angle_beta 90.00
_cell_angle_gamma 90.00
loop_
_space_group_symop_operation_xyz
'x,y,z'
loop_
_atom_site_label
_atom_site_type_symbol
_atom_site_fract_x
_atom_site_fract_y
_atom_site_fract_z
_atom_site_occupancy
Zn1 Zn 0.0000 0.0000 0.0000 1
Sb1 Sb 0.0000 0.5000 0.5000 1
Sb2 Sb 0.5000 0.0000 0.5000 1
Ir1 Ir 0.5000 0.5000 0.0000 1
```

=====

Arrangement two

Compound: ZnSb2Ir
Source: Alexandria via LeMat-Bulk
Functional: meta-GGA SCAN
Structure: PBEsol geometry

Computed properties:
M_tot   0.000 Bohr magnetons per cell

```
data_ZnSb2Ir
_space_group_name_H-M_alt 'P 1'
_space_group_IT_number 1
_cell_length_a 3.1828
_cell_length_b 3.1828
_cell_length_c 7.7394
_cell_angle_alpha 90.00
_cell_angle_beta 90.00
_cell_angle_gamma 90.00
loop_
_space_group_symop_operation_xyz
'x,y,z'
loop_
_atom_site_label
_atom_site_type_symbol
_atom_site_fract_x
_atom_site_fract_y
_atom_site_fract_z
_atom_site_occupancy
Zn1 Zn 0.0000 0.0000 0.0000 1
Sb1 Sb 0.5000 0.5000 0.2771 1
Sb2 Sb 0.5000 0.5000 0.7229 1
Ir1 Ir 0.0000 0.0000 0.5000 1
```

=====

Which structure loses on stability? arrangement one does.

=====

Arrangement one

Compound: LaCr2Mo
Source: Alexandria via LeMat-Bulk
Functional: meta-GGA SCAN
Structure: PBEsol geometry

Computed properties:
M_tot   0.000 Bohr magnetons per cell

```
data_LaCr2Mo
_space_group_name_H-M_alt 'P 1'
_space_group_IT_number 1
_cell_length_a 2.9276
_cell_length_b 3.5750
_cell_length_c 6.8456
_cell_angle_alpha 90.00
_cell_angle_beta 101.24
_cell_angle_gamma 90.00
loop_
_space_group_symop_operation_xyz
'x,y,z'
loop_
_atom_site_label
_atom_site_type_symbol
_atom_site_fract_x
_atom_site_fract_y
_atom_site_fract_z
_atom_site_occupancy
La1 La 0.0000 0.0000 0.0000 1
Cr1 Cr 0.1926 0.5000 0.6739 1
Cr2 Cr 0.4505 0.0000 0.5308 1
Mo1 Mo 0.7566 0.5000 0.3521 1
```

=====

Arrangement two

Compound: LaCr2Mo
Source: Alexandria via LeMat-Bulk
Functional: meta-GGA SCAN
Structure: PBEsol geometry

Computed properties:
M_tot   4.094 Bohr magnetons per cell

```
data_LaCr2Mo
_space_group_name_H-M_alt 'P 1'
_space_group_IT_number 1
_cell_length_a 3.0751
_cell_length_b 3.0751
_cell_length_c 7.3266
_cell_angle_alpha 90.00
_cell_angle_beta 90.00
_cell_angle_gamma 90.00
loop_
_space_group_symop_operation_xyz
'x,y,z'
loop_
_atom_site_label
_atom_site_type_symbol
_atom_site_fract_x
_atom_site_fract_y
_atom_site_fract_z
_atom_site_occupancy
La1 La 0.0000 0.0000 0.0000 1
Cr1 Cr 0.5000 0.5000 0.3134 1
Cr2 Cr 0.5000 0.5000 0.6866 1
Mo1 Mo 0.0000 0.0000 0.5000 1
```

=====

Which structure loses on stability? arrangement one does.

=====

Arrangement one

Compound: Ba2TaTl
Source: Alexandria via LeMat-Bulk
Functional: meta-GGA SCAN
Structure: PBEsol geometry

Computed properties:
M_tot   0.006 Bohr magnetons per cell

```
data_Ba2TaTl
_space_group_name_H-M_alt 'P 1'
_space_group_IT_number 1
_cell_length_a 3.5123
_cell_length_b 3.5123
_cell_length_c 34.8028
_cell_angle_alpha 90.00
_cell_angle_beta 90.00
_cell_angle_gamma 120.00
loop_
_space_group_symop_operation_xyz
'x,y,z'
loop_
_atom_site_label
_atom_site_type_symbol
_atom_site_fract_x
_atom_site_fract_y
_atom_site_fract_z
_atom_site_occupancy
Ba1 Ba 0.0000 0.0000 0.0000 1
Ba2 Ba 0.0000 0.0000 0.2221 1
Ba3 Ba 0.3333 0.6667 0.6667 1
Ba4 Ba 0.3333 0.6667 0.8887 1
Ba5 Ba 0.6667 0.3333 0.3333 1
Ba6 Ba 0.6667 0.3333 0.5554 1
Ta1 Ta 0.0000 0.0000 0.4793 1
Ta2 Ta 0.3333 0.6667 0.1459 1
Ta3 Ta 0.6667 0.3333 0.8126 1
Tl1 Tl 0.0000 0.0000 0.7490 1
Tl2 Tl 0.3333 0.6667 0.4156 1
Tl3 Tl 0.6667 0.3333 0.0823 1
```

=====

Arrangement two

Compound: Ba2TaTl
Source: Alexandria via LeMat-Bulk
Functional: meta-GGA SCAN
Structure: PBEsol geometry

Computed properties:
M_tot   15.859 Bohr magnetons per cell

```
data_Ba2TaTl
_space_group_name_H-M_alt 'P 1'
_space_group_IT_number 1
_cell_length_a 7.8889
_cell_length_b 7.8889
_cell_length_c 7.8889
_cell_angle_alpha 90.00
_cell_angle_beta 90.00
_cell_angle_gamma 90.00
loop_
_space_group_symop_operation_xyz
'x,y,z'
loop_
_atom_site_label
_atom_site_type_symbol
_atom_site_fract_x
_atom_site_fract_y
_atom_site_fract_z
_atom_site_occupancy
Ba1 Ba 0.0000 0.0000 0.0000 1
Ba2 Ba 0.0000 0.5000 0.5000 1
Ba3 Ba 0.2500 0.2500 0.2500 1
Ba4 Ba 0.2500 0.7500 0.7500 1
Ba5 Ba 0.5000 0.0000 0.5000 1
Ba6 Ba 0.5000 0.5000 0.0000 1
Ba7 Ba 0.7500 0.2500 0.7500 1
Ba8 Ba 0.7500 0.7500 0.2500 1
Ta1 Ta 0.2500 0.2500 0.7500 1
Ta2 Ta 0.2500 0.7500 0.2500 1
Ta3 Ta 0.7500 0.2500 0.2500 1
Ta4 Ta 0.7500 0.7500 0.7500 1
Tl1 Tl 0.0000 0.0000 0.5000 1
Tl2 Tl 0.0000 0.5000 0.0000 1
Tl3 Tl 0.5000 0.0000 0.0000 1
Tl4 Tl 0.5000 0.5000 0.5000 1
```

=====

Which structure loses on stability? arrangement one does.

=====

Arrangement one

Compound: PIrPtO2
Source: Alexandria via LeMat-Bulk
Functional: meta-GGA SCAN
Structure: PBEsol geometry

Computed properties:
M_tot   0.000 Bohr magnetons per cell

```
data_PIrPtO2
_space_group_name_H-M_alt 'P 1'
_space_group_IT_number 1
_cell_length_a 3.6188
_cell_length_b 3.6188
_cell_length_c 5.5786
_cell_angle_alpha 90.00
_cell_angle_beta 90.00
_cell_angle_gamma 90.00
loop_
_space_group_symop_operation_xyz
'x,y,z'
loop_
_atom_site_label
_atom_site_type_symbol
_atom_site_fract_x
_atom_site_fract_y
_atom_site_fract_z
_atom_site_occupancy
P1 P 0.0000 0.0000 0.0000 1
Ir1 Ir 0.0000 0.0000 0.5000 1
Pt1 Pt 0.5000 0.5000 0.0000 1
O1 O 0.0000 0.5000 0.5000 1
O2 O 0.5000 0.0000 0.5000 1
```

=====

Arrangement two

Compound: PIrPtO2
Source: Alexandria via LeMat-Bulk
Functional: meta-GGA SCAN
Structure: PBEsol geometry

Computed properties:
M_tot   0.000 Bohr magnetons per cell

```
data_PIrPtO2
_space_group_name_H-M_alt 'P 1'
_space_group_IT_number 1
_cell_length_a 3.5755
_cell_length_b 3.5755
_cell_length_c 6.5853
_cell_angle_alpha 90.00
_cell_angle_beta 90.00
_cell_angle_gamma 90.00
loop_
_space_group_symop_operation_xyz
'x,y,z'
loop_
_atom_site_label
_atom_site_type_symbol
_atom_site_fract_x
_atom_site_fract_y
_atom_site_fract_z
_atom_site_occupancy
P1 P 0.0000 0.0000 0.0000 1
Ir1 Ir 0.5000 0.5000 0.0000 1
Pt1 Pt 0.0000 0.0000 0.5000 1
O1 O 0.0000 0.5000 0.5000 1
O2 O 0.5000 0.0000 0.5000 1
```

=====

Which structure loses on stability? arrangement two does.

=====

Arrangement one

Compound: BeCr2Te
Source: Alexandria via LeMat-Bulk
Functional: meta-GGA SCAN
Structure: PBEsol geometry

Computed properties:
M_tot   10.105 Bohr magnetons per cell

```
data_BeCr2Te
_space_group_name_H-M_alt 'P 1'
_space_group_IT_number 1
_cell_length_a 3.8752
_cell_length_b 3.8752
_cell_length_c 7.1363
_cell_angle_alpha 90.00
_cell_angle_beta 90.00
_cell_angle_gamma 90.00
loop_
_space_group_symop_operation_xyz
'x,y,z'
loop_
_atom_site_label
_atom_site_type_symbol
_atom_site_fract_x
_atom_site_fract_y
_atom_site_fract_z
_atom_site_occupancy
Be1 Be 0.0000 0.0000 0.0000 1
Be2 Be 0.5000 0.5000 0.5000 1
Cr1 Cr 0.0000 0.5000 0.2500 1
Cr2 Cr 0.0000 0.5000 0.7500 1
Cr3 Cr 0.5000 0.0000 0.2500 1
Cr4 Cr 0.5000 0.0000 0.7500 1
Te1 Te 0.0000 0.0000 0.5000 1
Te2 Te 0.5000 0.5000 0.0000 1
```

=====

Arrangement two

Compound: BeCr2Te
Source: Alexandria via LeMat-Bulk
Functional: meta-GGA SCAN
Structure: PBEsol geometry

Computed properties:
M_tot   6.909 Bohr magnetons per cell

```
data_BeCr2Te
_space_group_name_H-M_alt 'P 1'
_space_group_IT_number 1
_cell_length_a 3.2177
_cell_length_b 3.2177
_cell_length_c 18.1387
_cell_angle_alpha 90.00
_cell_angle_beta 90.00
_cell_angle_gamma 120.00
loop_
_space_group_symop_operation_xyz
'x,y,z'
loop_
_atom_site_label
_atom_site_type_symbol
_atom_site_fract_x
_atom_site_fract_y
_atom_site_fract_z
_atom_site_occupancy
Be1 Be 0.0000 0.0000 0.0000 1
Be2 Be 0.3333 0.6667 0.6667 1
Be3 Be 0.6667 0.3333 0.3333 1
Cr1 Cr 0.0000 0.0000 0.2748 1
Cr2 Cr 0.0000 0.0000 0.7252 1
Cr3 Cr 0.3333 0.6667 0.3919 1
Cr4 Cr 0.3333 0.6667 0.9414 1
Cr5 Cr 0.6667 0.3333 0.0586 1
Cr6 Cr 0.6667 0.3333 0.6081 1
Te1 Te 0.0000 0.0000 0.5000 1
Te2 Te 0.3333 0.6667 0.1667 1
Te3 Te 0.6667 0.3333 0.8333 1
```

=====

Which structure loses on stability? arrangement two does.